No. 1
Density functional theory data (PBE-GGA) for crystalline RhAu2Br at its relaxed geometry.

```
RhAu2Br
1.0
-0.684 3.955 -4.554
-0.710 -6.022 -0.290
-2.941 -0.407 -0.969
Au Rh Br
2 1 1
direct
0.000 0.000 0.000
0.500 0.500 0.000
0.000 0.500 0.500
0.500 0.000 0.500
```

Calculated values
**Uncorrected energy**: -13.8 eV for the cell shown
**ρ**: 12.59 Mg/m³
**Total magnetic moment**: 0.0 μB/f.u.
**Formation energy (no corrections)**: 0.454 eV/atom

***

No. 2
Density functional theory data (PBE-GGA) for crystalline RhAu2Br at its relaxed geometry.

```
RhAu2Br
1.0
-2.001 -2.352 -1.100
2.048 -2.280 1.149
-3.529 0.033 6.351
Rh Au Br
1 2 1
direct
0.500 0.500 0.750
0.000 0.000 0.539
0.000 0.000 0.961
0.500 0.500 0.250
```

Calculated values
**Uncorrected energy**: -13.9 eV for the cell shown
**ρ**: 12.29 Mg/m³
**Total magnetic moment**: 1.1 μB/f.u.
**Formation energy (no corrections)**: 0.422 eV/atom

***

No. 3
Density functional theory data (PBE-GGA) for crystalline Rh2AuBr2 at its relaxed geometry.

```
Rh2AuBr2
1.0
3.627 0.000 0.000
0.000 3.627 0.000
1.814 1.814 7.983
Rh Br Au
2 2 1
direct
0.750 0.250 0.500
0.250 0.750 0.500
0.385 0.385 0.230
0.615 0.615 0.770
0.000 0.000 0.000
```

Calculated values
**Uncorrected energy**: -18.3 eV for the cell shown
**ρ**: 8.90 Mg/m³
**Total magnetic moment**: 1.4 μB/f.u.
**Formation energy (no corrections)**: 0.615 eV/atom

***

No. 4
Density functional theory data (PBE-GGA) for crystalline RhAu2Br at its relaxed geometry.

```
RhAu2Br
1.0
-0.030 -7.648 -1.488
3.690 -1.325 6.733
-0.509 -4.718 3.858
Rh Br Au
2 2 4
direct
0.000 0.000 0.000
0.750 0.250 0.500
0.500 0.500 0.000
0.250 0.750 0.500
0.375 0.354 0.750
0.875 0.896 0.750
0.104 0.625 0.250
0.646 0.125 0.250
```

Calculated values
**Uncorrected energy**: -27.2 eV for the cell shown
**ρ**: 11.88 Mg/m³
**Total magnetic moment**: 0.0 μB/f.u.
**Formation energy (no corrections)**: 0.493 eV/atom

***

No. 5
Density functional theory data (PBE-GGA) for crystalline RhAu2Br at its relaxed geometry.

```
RhAu2Br
1.0
-4.553 1.623 -1.230
-1.253 -3.677 -0.213
-0.976 0.114 3.764
Au Rh Br
2 1 1
direct
0.000 0.000 0.000
0.000 0.500 0.500
0.500 0.000 0.500
0.500 0.500 0.000
```

Calculated values
**Uncorrected energy**: -13.6 eV for the cell shown
**ρ**: 12.69 Mg/m³
**Total magnetic moment**: 0.0 μB/f.u.
**Formation energy (no corrections)**: 0.503 eV/atom

***

No. 6
Density functional theory data (PBE-GGA) for crystalline RhAuBr3 at its relaxed geometry.

```
RhAuBr3
1.0
5.046 0.000 0.000
0.000 5.046 0.000
0.000 0.000 5.046
Au Br Rh
1 3 1
direct
0.500 0.500 0.500
0.500 0.000 0.000
0.000 0.000 0.500
0.000 0.500 0.000
0.000 0.000 0.000
```

Calculated values
**Uncorrected energy**: -14.1 eV for the cell shown
**ρ**: 6.97 Mg/m³
**Total magnetic moment**: 0.0 μB/f.u.
**Formation energy (no corrections)**: 0.301 eV/atom

***

No. 7
Density functional theory data (PBE-GGA) for crystalline RhAu2Br at its relaxed geometry.

```
RhAu2Br
1.0
-5.877 -2.014 -2.382
-3.792 -5.355 1.104
3.310 5.483 1.802
Br Au Rh
1 2 1
direct
0.750 0.250 0.500
0.048 0.048 0.000
0.452 0.452 0.000
0.250 0.750 0.500
```

Calculated values
**Uncorrected energy**: -14.3 eV for the cell shown
**ρ**: 12.21 Mg/m³
**Total magnetic moment**: 0.0 μB/f.u.
**Formation energy (no corrections)**: 0.328 eV/atom

***

No. 8
Density functional theory data (PBE-GGA) for crystalline Rh2AuBr at its relaxed geometry.

```
Rh2AuBr
1.0
-1.302 3.054 -0.722
-2.414 -0.560 1.987
3.559 2.720 5.090
Br Au Rh
1 1 2
direct
0.500 0.750 0.750
0.500 0.250 0.250
0.000 0.750 0.037
0.000 0.750 0.463
```

Calculated values
**Uncorrected energy**: -18.0 eV for the cell shown
**ρ**: 10.95 Mg/m³
**Total magnetic moment**: 0.0 μB/f.u.
**Formation energy (no corrections)**: 0.408 eV/atom